No. 1
K2TlBr | GGA-PBEsol | relaxed

Results
Electronic total energy   -2.2466 eV/atom
M_tot   0.000 μB per atom
DOS(E_F)   0.54 states/eV/atom
Formation energy without anion corrections   -0.55 eV per atom

Lattice parameters (Å, degrees): 4.815 4.815 12.800 90.00 90.00 90.00
Space group I-4m2 (No. 119)
Inequivalent atoms, fractional coordinates:
K (0.000, 0.000, 0.000) (multiplicity 2)
K (0.000, 0.500, 0.250) (multiplicity 2)
Tl (0.000, 0.000, 0.500) (multiplicity 2)
Br (0.000, 0.500, 0.750) (multiplicity 2)

---

No. 2
KTlBr2 | GGA-PBEsol | relaxed

Results
Electronic total energy   -3.0843 eV/atom
M_tot   0.000 μB per atom
DOS(E_F)   0.00 states/eV/atom
ΔE to the lowest computed polymorph   46 meV per atom
Formation energy without anion corrections   -1.21 eV per atom

Lattice parameters (Å, degrees): 4.212 4.226 15.460 90.00 90.00 90.00
Space group Imm2 (No. 44)
Inequivalent atoms, fractional coordinates:
K (0.000, 0.000, 0.000) (multiplicity 2)
Tl (0.000, 0.500, 0.748) (multiplicity 2)
Br (0.000, 0.000, 0.585) (multiplicity 2)
Br (0.000, 0.500, 0.336) (multiplicity 2)

---

No. 3
KTlBr2 | GGA-PBEsol | relaxed

Results
Electronic total energy   -3.0986 eV/atom
M_tot   0.000 μB per atom
DOS(E_F)   0.00 states/eV/atom
ΔE to the lowest computed polymorph   32 meV per atom
Formation energy without anion corrections   -1.22 eV per atom

Lattice parameters (Å, degrees): 7.826 7.826 7.826 90.00 90.00 90.00
Space group Fm-3m (No. 225)
Inequivalent atoms, fractional coordinates:
K (0.000, 0.000, 0.000) (multiplicity 4)
Tl (0.000, 0.000, 0.500) (multiplicity 4)
Br (0.250, 0.250, 0.250) (multiplicity 8)

---

No. 4
KTlBr | GGA-PBEsol | relaxed

Results
Electronic total energy   -2.5736 eV/atom
M_tot   0.000 μB per atom
DOS(E_F)   0.46 states/eV/atom
Formation energy without anion corrections   -0.70 eV per atom

Lattice parameters (Å, degrees): 4.139 4.228 12.259 90.00 90.00 90.00
Space group Imm2 (No. 44)
Inequivalent atoms, fractional coordinates:
K (0.000, 0.000, 0.000) (multiplicity 2)
Tl (0.000, 0.000, 0.687) (multiplicity 2)
Br (0.000, 0.000, 0.424) (multiplicity 2)

---

No. 5
KTlBr2 | GGA-PBEsol | relaxed

Results
Electronic total energy   -2.8656 eV/atom
M_tot   0.000 μB per atom
DOS(E_F)   0.00 states/eV/atom
ΔE to the lowest computed polymorph   265 meV per atom
Formation energy without anion corrections   -0.99 eV per atom

Lattice parameters (Å, degrees): 4.8464 4.8464 27.9269 90.00 90.00 120.00
Space group R-3m (No. 166, hexagonal axes)
Inequivalent atoms, fractional coordinates:
K (0.0000, 0.0000, 0.0000) (multiplicity 3)
Tl (0.0000, 0.0000, 0.5000) (multiplicity 3)
Br (0.0000, 0.0000, 0.3944) (multiplicity 6)

---

No. 6
K3TlBr6 | GGA-PBEsol | relaxed

Results
Electronic total energy   -2.8682 eV/atom
M_tot   0.000 μB per atom
Formation energy without anion corrections   -1.14 eV per atom

Lattice parameters (Å, degrees): 11.494 11.494 11.494 90.00 90.00 90.00
Space group Fm-3m (No. 225)
Inequivalent atoms, fractional coordinates:
K (0.000, 0.000, 0.000) (multiplicity 4)
K (0.250, 0.250, 0.250) (multiplicity 8)
Tl (0.000, 0.000, 0.500) (multiplicity 4)
Br (0.000, 0.000, 0.263) (multiplicity 24)

---

No. 7
KTlBr2 | GGA-PBEsol | relaxed

Results
Electronic total energy   -3.1304 eV/atom
M_tot   0.000 μB per atom
DOS(E_F)   0.00 states/eV/atom
ΔE to the lowest computed polymorph   0 meV per atom
Formation energy without anion corrections   -1.25 eV per atom

Lattice parameters (Å, degrees): 4.620 4.620 6.522 90.00 90.00 90.00
Space group P4mm (No. 99)
Inequivalent atoms, fractional coordinates:
K (0.000, 0.000, 0.000) (multiplicity 1)
Tl (0.500, 0.500, 0.499) (multiplicity 1)
Br (0.000, 0.000, 0.500) (multiplicity 1)
Br (0.500, 0.500, 0.999) (multiplicity 1)

---

No. 8
KTlBr2 | GGA-PBEsol | relaxed

Results
Electronic total energy   -3.1078 eV/atom
M_tot   0.000 μB per atom
DOS(E_F)   0.00 states/eV/atom
ΔE to the lowest computed polymorph   23 meV per atom
Formation energy without anion corrections   -1.23 eV per atom

Lattice parameters (Å, degrees): 5.038 4.198 12.181 90.00 90.00 90.00
Space group Amm2 (No. 38)
Inequivalent atoms, fractional coordinates:
K (0.000, 0.000, 0.000) (multiplicity 2)
Tl (0.500, 0.000, 0.231) (multiplicity 2)
Br (0.000, 0.000, 0.733) (multiplicity 2)
Br (0.500, 0.000, 0.481) (multiplicity 2)

---

No. 9
KTlBr2 | GGA-PBEsol | relaxed

Results
Electronic total energy   -3.1036 eV/atom
M_tot   0.000 μB per atom
DOS(E_F)   0.00 states/eV/atom
ΔE to the lowest computed polymorph   27 meV per atom
Formation energy without anion corrections   -1.23 eV per atom

Lattice parameters (Å, degrees): 5.522 5.522 3.913 90.00 90.00 90.00
Space group P4/mmm (No. 123)
Inequivalent atoms, fractional coordinates:
K (0.000, 0.000, 0.000) (multiplicity 1)
Tl (0.500, 0.500, 0.000) (multiplicity 1)
Br (0.000, 0.500, 0.500) (multiplicity 2)

---

No. 10
KTlBr2 | GGA-PBEsol | relaxed

Results
Electronic total energy   -3.1019 eV/atom
M_tot   0.000 μB per atom
DOS(E_F)   0.00 states/eV/atom
ΔE to the lowest computed polymorph   28 meV per atom
Formation energy without anion corrections   -1.23 eV per atom

Lattice parameters (Å, degrees): 4.5028 4.5028 23.8664 90.00 90.00 120.00
Space group R3m (No. 160, hexagonal axes)
Inequivalent atoms, fractional coordinates:
K (0.0000, 0.0000, 0.0000) (multiplicity 3)
Tl (0.0000, 0.0000, 0.8321) (multiplicity 3)
Br (0.0000, 0.0000, 0.4143) (multiplicity 3)
Br (0.0000, 0.0000, 0.5845) (multiplicity 3)

---

No. 11
KTlBr2 | GGA-PBEsol | relaxed

Results
Electronic total energy   -3.0115 eV/atom
M_tot   0.000 μB per atom
DOS(E_F)   0.00 states/eV/atom
ΔE to the lowest computed polymorph   119 meV per atom
Formation energy without anion corrections   -1.14 eV per atom

Lattice parameters (Å, degrees): 7.223 7.223 14.841 90.00 90.00 90.00
Space group I-42d (No. 122)
Inequivalent atoms, fractional coordinates:
K (0.000, 0.000, 0.000) (multiplicity 4)
Tl (0.000, 0.000, 0.500) (multiplicity 4)
Br (0.248, 0.250, 0.625) (multiplicity 8)

---

No. 12
KTlBr2 | GGA-PBEsol | relaxed

Results
Electronic total energy   -3.1206 eV/atom
M_tot   0.000 μB per atom
DOS(E_F)   0.00 states/eV/atom
ΔE to the lowest computed polymorph   10 meV per atom
Formation energy without anion corrections   -1.24 eV per atom

Lattice parameters (Å, degrees): 4.6152 4.6152 22.7784 90.00 90.00 120.00
Space group R-3m (No. 166, hexagonal axes)
Inequivalent atoms, fractional coordinates:
K (0.0000, 0.0000, 0.0000) (multiplicity 3)
Tl (0.0000, 0.0000, 0.5000) (multiplicity 3)
Br (0.0000, 0.0000, 0.2513) (multiplicity 6)

---

No. 13
K2YTlBr6 | GGA-PBEsol | relaxed

Results
Electronic total energy   -3.8209 eV/atom
M_tot   0.000 μB per atom
DOS(E_F)   0.00 states/eV/atom
Formation energy without anion corrections   -1.53 eV per atom

Lattice parameters (Å, degrees): 11.666 11.666 11.666 90.00 90.00 90.00
Space group Fm-3m (No. 225)
Inequivalent atoms, fractional coordinates:
K (0.250, 0.250, 0.250) (multiplicity 8)
Y (0.000, 0.000, 0.000) (multiplicity 4)
Tl (0.000, 0.000, 0.500) (multiplicity 4)
Br (0.000, 0.000, 0.236) (multiplicity 24)

---

No. 14
K2UBr5 | GGA-PBEsol | relaxed

Results
Electronic total energy   -4.4148 eV/atom
M_tot   0.375 μB per atom
DOS(E_F)   1.05 states/eV/atom
Formation energy without anion corrections   -1.44 eV per atom

Lattice parameters (Å, degrees): 13.306 8.957 8.368 90.00 90.00 90.00
Space group Pnma (No. 62)
Inequivalent atoms, fractional coordinates:
K (0.173, 0.005, 0.054) (multiplicity 8)
U (0.004, 0.250, 0.573) (multiplicity 4)
Br (0.006, 0.250, 0.927) (multiplicity 4)
Br (0.080, 0.546, 0.667) (multiplicity 8)
Br (0.182, 0.250, 0.371) (multiplicity 4)
Br (0.208, 0.750, 0.334) (multiplicity 4)

---

No. 15
KWBr3 | GGA-PBEsol | relaxed

Results
Electronic total energy   -2.9629 eV/atom
M_tot   0.794 μB per atom
DOS(E_F)   1.71 states/eV/atom
Formation energy without anion corrections   1.15 eV per atom

Lattice parameters (Å, degrees): 5.637 5.637 5.637 90.00 90.00 90.00
Space group Pm-3m (No. 221)
Inequivalent atoms, fractional coordinates:
K (0.000, 0.000, 0.000) (multiplicity 1)
W (0.500, 0.500, 0.500) (multiplicity 1)
Br (0.000, 0.000, 0.500) (multiplicity 3)

---

No. 16
K2WBr | GGA-PBEsol | relaxed

Results
Electronic total energy   -3.4884 eV/atom
M_tot   1.257 μB per atom
ΔE to the lowest computed polymorph   118 meV per atom
Formation energy without anion corrections   1.00 eV per atom

Lattice parameters (Å, degrees): 8.209 8.209 8.209 90.00 90.00 90.00
Space group Fm-3m (No. 225)
Inequivalent atoms, fractional coordinates:
K (0.250, 0.250, 0.250) (multiplicity 8)
W (0.000, 0.000, 0.000) (multiplicity 4)
Br (0.000, 0.000, 0.500) (multiplicity 4)

---

No. 17
K2WBr | GGA-PBEsol | relaxed

Results
Electronic total energy   -3.5840 eV/atom
M_tot   1.252 μB per atom
DOS(E_F)   0.11 states/eV/atom
ΔE to the lowest computed polymorph   22 meV per atom
Formation energy without anion corrections   0.90 eV per atom

Lattice parameters (Å, degrees): 5.946 5.946 3.702 90.00 90.00 90.00
Space group P4/mmm (No. 123)
Inequivalent atoms, fractional coordinates:
K (0.000, 0.500, 0.000) (multiplicity 2)
W (0.000, 0.000, 0.500) (multiplicity 1)
Br (0.500, 0.500, 0.500) (multiplicity 1)

---

No. 18
K2WBr | GGA-PBEsol | relaxed

Results
Electronic total energy   -3.6063 eV/atom
M_tot   1.175 μB per atom
DOS(E_F)   0.47 states/eV/atom
ΔE to the lowest computed polymorph   0 meV per atom
Formation energy without anion corrections   0.88 eV per atom

Lattice parameters (Å, degrees): 3.619 3.688 19.866 90.00 90.00 90.00
Space group Imm2 (No. 44)
Inequivalent atoms, fractional coordinates:
K (0.000, 0.000, 0.000) (multiplicity 2)
K (0.000, 0.500, 0.220) (multiplicity 2)
W (0.000, 0.500, 0.847) (multiplicity 2)
Br (0.000, 0.000, 0.590) (multiplicity 2)

---

No. 19
KWBr4 | GGA-PBEsol | relaxed

Results
Electronic total energy   -2.7819 eV/atom
M_tot   0.843 μB per atom
DOS(E_F)   1.66 states/eV/atom
Formation energy without anion corrections   0.95 eV per atom

Lattice parameters (Å, degrees): 8.844 8.844 8.844 90.00 90.00 90.00
Space group F-43m (No. 216)
Inequivalent atoms, fractional coordinates:
K (0.000, 0.000, 0.000) (multiplicity 4)
W (0.250, 0.250, 0.250) (multiplicity 4)
Br (0.124, 0.124, 0.624) (multiplicity 16)

---

No. 20
KWBr | GGA-PBEsol | relaxed

Results
Electronic total energy   -4.6175 eV/atom
M_tot   0.166 μB per atom
DOS(E_F)   0.69 states/eV/atom
ΔE to the lowest computed polymorph   0 meV per atom
Formation energy without anion corrections   0.99 eV per atom

Lattice parameters (Å, degrees): 3.256 5.220 15.327 90.00 90.00 90.00
Space group Fmm2 (No. 42)
Inequivalent atoms, fractional coordinates:
K (0.000, 0.000, 0.000) (multiplicity 4)
W (0.000, 0.000, 0.308) (multiplicity 4)
Br (0.000, 0.000, 0.672) (multiplicity 4)

---

No. 21
KWBr | GGA-PBEsol | relaxed

Results
Electronic total energy   -3.9809 eV/atom
M_tot   1.938 μB per atom
DOS(E_F)   0.79 states/eV/atom
ΔE to the lowest computed polymorph   637 meV per atom
Formation energy without anion corrections   1.62 eV per atom

Lattice parameters (Å, degrees): 7.399 7.399 7.399 90.00 90.00 90.00
Space group F-43m (No. 216)
Inequivalent atoms, fractional coordinates:
K (0.000, 0.000, 0.000) (multiplicity 4)
W (0.000, 0.000, 0.500) (multiplicity 4)
Br (0.250, 0.250, 0.250) (multiplicity 4)

---

No. 22
K2YBr | GGA-PBEsol | relaxed

Results
Electronic total energy   -2.7488 eV/atom
M_tot   0.136 μB per atom
DOS(E_F)   0.98 states/eV/atom
ΔE to the lowest computed polymorph   389 meV per atom
Formation energy without anion corrections   -0.01 eV per atom

Lattice parameters (Å, degrees): 3.850 6.072 6.487 90.00 90.00 90.00
Space group Pmmm (No. 47)
Inequivalent atoms, fractional coordinates:
K (0.000, 0.000, 0.000) (multiplicity 1)
K (0.500, 0.500, 0.000) (multiplicity 1)
Y (0.000, 0.500, 0.500) (multiplicity 1)
Br (0.500, 0.000, 0.500) (multiplicity 1)

---

No. 23
KYBr | GGA-PBEsol | relaxed

Results
Electronic total energy   -2.9087 eV/atom
M_tot   0.817 μB per atom
DOS(E_F)   1.50 states/eV/atom
Formation energy without anion corrections   0.37 eV per atom

Lattice parameters (Å, degrees): 7.724 7.724 7.724 90.00 90.00 90.00
Space group F-43m (No. 216)
Inequivalent atoms, fractional coordinates:
K (0.000, 0.000, 0.000) (multiplicity 4)
Y (0.250, 0.250, 0.250) (multiplicity 4)
Br (0.000, 0.000, 0.500) (multiplicity 4)

---

No. 24
K2YBr | GGA-PBEsol | relaxed

Results
Electronic total energy   -3.0106 eV/atom
M_tot   0.000 μB per atom
DOS(E_F)   1.09 states/eV/atom
ΔE to the lowest computed polymorph   127 meV per atom
Formation energy without anion corrections   -0.27 eV per atom

Lattice parameters (Å, degrees): 3.835 4.198 21.493 90.00 90.00 90.00
Space group Immm (No. 71)
Inequivalent atoms, fractional coordinates:
K (0.000, 0.000, 0.163) (multiplicity 4)
Y (0.000, 0.500, 0.000) (multiplicity 2)
Br (0.000, 0.500, 0.500) (multiplicity 2)

---

No. 25
KY2Br | GGA-PBEsol | relaxed

Results
Electronic total energy   -4.2448 eV/atom
M_tot   0.002 μB per atom
DOS(E_F)   1.41 states/eV/atom
Formation energy without anion corrections   -0.08 eV per atom

Lattice parameters (Å, degrees): 6.699 12.592 3.630 90.00 122.48 90.00
Space group C2/m (No. 12)
Inequivalent atoms, fractional coordinates:
K (0.000, 0.000, 0.000) (multiplicity 2)
Y (0.250, 0.250, 0.000) (multiplicity 4)
Br (0.000, 0.500, 0.000) (multiplicity 2)

---

No. 26
K3YBr | GGA-PBEsol | relaxed

Results
Electronic total energy   -1.8948 eV/atom
M_tot   0.602 μB per atom
DOS(E_F)   1.97 states/eV/atom
Formation energy without anion corrections   0.52 eV per atom

Lattice parameters (Å, degrees): 7.260 7.260 7.260 90.00 90.00 90.00
Space group Pm-3m (No. 221)
Inequivalent atoms, fractional coordinates:
K (0.000, 0.000, 0.500) (multiplicity 3)
Y (0.000, 0.000, 0.000) (multiplicity 1)
Br (0.500, 0.500, 0.500) (multiplicity 1)

---

No. 27
KYBr2 | GGA-PBEsol | relaxed

Results
Electronic total energy   -3.9022 eV/atom
M_tot   0.440 μB per atom
DOS(E_F)   0.79 states/eV/atom
ΔE to the lowest computed polymorph   290 meV per atom
Formation energy without anion corrections   -0.98 eV per atom

Lattice parameters (Å, degrees): 8.119 8.119 8.238 90.00 90.00 90.00
Space group I-42d (No. 122)
Inequivalent atoms, fractional coordinates:
K (0.000, 0.000, 0.000) (multiplicity 4)
Y (0.000, 0.000, 0.500) (multiplicity 4)
Br (0.213, 0.750, 0.625) (multiplicity 8)

---

No. 28
K2YBr | GGA-PBEsol | relaxed

Results
Electronic total energy   -2.7026 eV/atom
M_tot   0.000 μB per atom
DOS(E_F)   1.08 states/eV/atom
ΔE to the lowest computed polymorph   435 meV per atom
Formation energy without anion corrections   0.04 eV per atom

Lattice parameters (Å, degrees): 5.000 5.000 12.784 90.00 90.00 90.00
Space group I-4m2 (No. 119)
Inequivalent atoms, fractional coordinates:
K (0.000, 0.000, 0.000) (multiplicity 2)
K (0.000, 0.500, 0.250) (multiplicity 2)
Y (0.000, 0.000, 0.500) (multiplicity 2)
Br (0.000, 0.500, 0.750) (multiplicity 2)